Record 1
Below is crystalline CaTcBr2 at its relaxed geometry, with properties calculated at the PBE level.

a = 3.7885 Å, b = 3.7885 Å, c = 7.2512 Å
α = 90.00°, β = 90.00°, γ = 90.00°
Space group P4mm (No. 99)
One atom of each set of equivalent atoms:
Ca 0.0000 0.0000 0.0000 (multiplicity 1)
Tc 0.5000 0.5000 0.2394 (multiplicity 1)
Br 0.0000 0.0000 0.4064 (multiplicity 1)
Br 0.5000 0.5000 0.8356 (multiplicity 1)

## Properties
The value obtained for the density is 4.75 g/cm3. The value obtained for the energy above the most stable polymorph in this dataset is 124 meV/atom. The value obtained for the size of the total moment is 3.11 μB/f.u.


Record 2
Below is crystalline TeAuCI2 at its relaxed geometry, with properties calculated at the PBE level.

a = 5.6144 Å, b = 5.6144 Å, c = 5.5944 Å
α = 90.00°, β = 90.00°, γ = 90.00°
Space group P4/mmm (No. 123)
One atom of each set of equivalent atoms:
Te 0.0000 0.0000 0.0000 (multiplicity 1)
Au 0.0000 0.0000 0.5000 (multiplicity 1)
C 0.5000 0.5000 0.0000 (multiplicity 1)
I 0.0000 0.5000 0.5000 (multiplicity 2)

## Properties
The value obtained for the density is 5.56 g/cm3. The value obtained for the energy above the most stable polymorph in this dataset is 427 meV/atom. The value obtained for the size of the total moment is 0.33 μB/f.u.


Record 3
Below is crystalline LiYSn6 at its relaxed geometry, with properties calculated at the PBE level.

a = 9.3587 Å, b = 9.4055 Å, c = 4.6260 Å
α = 90.00°, β = 90.00°, γ = 90.00°
Space group Cmmm (No. 65)
One atom of each set of equivalent atoms:
Li 0.0000 0.0000 0.0000 (multiplicity 2)
Y 0.0000 0.5000 0.0000 (multiplicity 2)
Sn 0.0000 0.2397 0.5000 (multiplicity 4)
Sn 0.2391 0.0000 0.5000 (multiplicity 4)
Sn 0.2500 0.2500 0.0000 (multiplicity 4)

## Properties
The value obtained for the density is 6.59 g/cm3. The value obtained for the size of the total moment is 0.00 μB/f.u. The formation energy comes out at -228 kJ/mol of formula units.


Record 4
Below is crystalline AlBRhO2 at its relaxed geometry, with properties calculated at the PBE level.

a = 3.2009 Å, b = 3.2009 Å, c = 6.1581 Å
α = 90.00°, β = 90.00°, γ = 90.00°
Space group P4/mmm (No. 123)
One atom of each set of equivalent atoms:
Al 0.0000 0.0000 0.0000 (multiplicity 1)
B 0.5000 0.5000 0.5000 (multiplicity 1)
Rh 0.5000 0.5000 0.0000 (multiplicity 1)
O 0.0000 0.5000 0.5000 (multiplicity 2)

## Properties
The value obtained for the density is 4.55 g/cm3. The value obtained for the size of the total moment is 0.28 μB/f.u. Its uncorrected energy is -0.4214 Ry per atom.